Run w
First-principles (PBE-GGA) data for CoRe2B2 after structural relaxation, as listed in the Alexandria database.

Its crystal system is tetragonal.

Cell lengths 5.4337, 5.4337, 3.4195 Å; angles 90.00, 90.00, 90.00 degrees
Closest atoms and distances in Å follow each position.
Space group P4/mbm (No. 127)
Unique sites:
Co: 0.0000 0.0000 0.0000 x2  4 B 2.17
Re: 0.1791 0.3209 0.5000 x4  6 B 2.31-2.38
B: 0.1186 0.6186 0.0000 x4  1 B 1.82

---

Run x
First-principles (PBE-GGA) data for CoRe2B2 after structural relaxation, as listed in the Alexandria database.

Its crystal system is orthorhombic.

Cell lengths 4.3840, 11.1996, 4.3482 Å; angles 90.00, 90.00, 90.00 degrees
Closest atoms and distances in Å follow each position.
Space group Cmcm (No. 63)
Unique sites:
Co: 0.0000 0.0000 0.0000 x4  4 B 2.03, 2 Co 2.17
Re: 0.0000 0.2219 0.2500 x4  2 B 2.15
Re: 0.0000 0.4142 0.7500 x4  6 B 2.33-2.38
B: 0.2141 0.3950 0.2500 x8  1 B 1.88, 2 Co 2.03

---

Of them, run x has the lowest stability.

---

Run w
First-principles (PBE-GGA) data for CoB2Rh after structural relaxation, as listed in the Alexandria database.

Its crystal system is trigonal.

Cell lengths 3.4156, 3.4156, 10.7481 Å; angles 90.00, 90.00, 120.00 degrees
Closest atoms and distances in Å follow each position.
Space group R-3m (No. 166, hexagonal axes)
Unique sites:
Co: 0.0000 0.0000 0.0000 x3  6 B 2.04
B: 0.0000 0.0000 0.2844 x6  3 Co 2.04, 3 B 2.23
Rh: 0.0000 0.0000 0.5000 x3  8 B 2.32-2.34

---

Run x
First-principles (PBE-GGA) data for CoB2Rh after structural relaxation, as listed in the Alexandria database.

Its crystal system is cubic.

Cell lengths 5.2195, 5.2195, 5.2195 Å; angles 90.00, 90.00, 90.00 degrees
Closest atoms and distances in Å follow each position.
Space group Fm-3m (No. 225)
Unique sites:
Co: 0.0000 0.0000 0.0000 x4  8 B 2.26
B: 0.2500 0.2500 0.2500 x8  4 Co 2.26, 4 Rh 2.26
Rh: 0.0000 0.0000 0.5000 x4  8 B 2.26

---

Run y
First-principles (PBE-GGA) data for CoB2Rh after structural relaxation, as listed in the Alexandria database.

Its crystal system is tetragonal.

Cell lengths 4.5134, 4.5134, 9.1161 Å; angles 90.00, 90.00, 90.00 degrees
Closest atoms and distances in Å follow each position.
Space group I-42d (No. 122)
Unique sites:
Co: 0.0000 0.0000 0.0000 x4  4 B 1.91
B: 0.2284 0.2500 0.1250 x8  2 Co 1.91, 2 Rh 2.02
Rh: 0.0000 0.0000 0.5000 x4  4 B 2.02

---

Of them, run y has the lowest stability.

---

Run w
First-principles (PBE-GGA) data for CoBRh3 after structural relaxation, as listed in the Alexandria database.

Its crystal system is monoclinic.

Cell lengths 9.0450, 2.7695, 10.1149 Å; angles 90.00, 109.52, 90.00 degrees
Closest atoms and distances in Å follow each position.
Space group C2/m (No. 12)
Unique sites:
Co: 0.0276 0.0000 0.3393 x4  2 B 2.11
B: 0.1392 0.5000 0.7816 x4  2 Co 2.11, 5 Rh 2.16-2.27
Rh: 0.1102 0.0000 0.9353 x4  2 B 2.16
Rh: 0.1632 0.5000 0.5653 x4  1 B 2.27
Rh: 0.1659 0.5000 0.1939 x4  2 B 2.19

---

Run x
First-principles (PBE-GGA) data for CoBRh3 after structural relaxation, as listed in the Alexandria database.

Its crystal system is cubic.

Cell lengths 4.4160, 4.4160, 4.4160 Å; angles 90.00, 90.00, 90.00 degrees
Closest atoms and distances in Å follow each position.
Space group Pm-3m (No. 221)
Unique sites:
Co: 0.0000 0.0000 0.0000 x1  6 Rh 2.21
B: 0.5000 0.5000 0.5000 x1  12 Rh 3.12
Rh: 0.0000 0.0000 0.5000 x3  2 Co 2.21

---

Of them, run x has the lowest stability.

---

Run w
First-principles (PBE-GGA) data for Co3BRh after structural relaxation, as listed in the Alexandria database.

Its crystal system is cubic.

Cell lengths 3.8172, 3.8172, 3.8172 Å; angles 90.00, 90.00, 90.00 degrees
Closest atoms and distances in Å follow each position.
Space group Pm-3m (No. 221)
Unique sites:
Co: 0.0000 0.0000 0.5000 x3  2 B 1.91
B: 0.0000 0.0000 0.0000 x1  6 Co 1.91
Rh: 0.5000 0.5000 0.5000 x1  12 Co 2.70

---

Run x
First-principles (PBE-GGA) data for Co3BRh after structural relaxation, as listed in the Alexandria database.

Its crystal system is cubic.

Cell lengths 4.5187, 4.5187, 4.5187 Å; angles 90.00, 90.00, 90.00 degrees
Closest atoms and distances in Å follow each position.
Space group Pm-3m (No. 221)
Unique sites:
Co: 0.0000 0.0000 0.5000 x3  2 Rh 2.26
B: 0.5000 0.5000 0.5000 x1  12 Co 3.20
Rh: 0.0000 0.0000 0.0000 x1  6 Co 2.26

---

Of them, run x has the lowest stability.